(1)
DFT (PBE) results for a relaxed structure of Al8Zn2W.

```
data_Al8Zn2W
_symmetry_space_group_name_H-M 'C 1 2/m 1'
_symmetry_Int_Tables_number 12
_cell_length_a 11.336
_cell_length_b 8.376
_cell_length_c 4.406
_cell_angle_alpha 90.00
_cell_angle_beta 99.82
_cell_angle_gamma 90.00
loop_
_symmetry_equiv_pos_as_xyz
'x,y,z'
'-x,-y,-z'
'-x,y,-z'
'x,-y,z'
'x+1/2,y+1/2,z'
'-x+1/2,-y+1/2,-z'
'-x+1/2,y+1/2,-z'
'x+1/2,-y+1/2,z'
loop_
_atom_site_label
_atom_site_fract_x
_atom_site_fract_y
_atom_site_fract_z
Al1 0.085 0.222 0.328
Al2 0.106 0.000 0.847
Al3 0.242 0.500 0.600
Zn1 0.127 0.500 0.045
W1 0.000 0.500 0.500
```

Computed properties:
total magnetization = 0.30 μB/f.u.
calculated formation energy = 0.19 eV/atom
crystal system = monoclinic



(2)
DFT (PBE) results for a relaxed structure of ZrAlPt.

```
data_ZrAlPt
_symmetry_space_group_name_H-M 'P -6 m 2'
_symmetry_Int_Tables_number 187
_symmetry_space_group_name_Hall 'P -6 2'
_cell_length_a 4.3926
_cell_length_b 4.3926
_cell_length_c 3.2154
_cell_angle_alpha 90.00
_cell_angle_beta 90.00
_cell_angle_gamma 120.00
loop_
_atom_site_label
_atom_site_fract_x
_atom_site_fract_y
_atom_site_fract_z
Zr1 0.0000 0.0000 0.0000
Al1 0.3333 0.6667 0.5000
Pt1 0.6667 0.3333 0.5000
```

Computed properties:
total magnetization = 0.00 μB/f.u.
calculated formation energy = -0.92 eV/atom
crystal system = hexagonal



(3)
DFT (PBE) results for a relaxed structure of HfThMo.

```
data_HfThMo
_symmetry_space_group_name_H-M 'I 4 m m'
_symmetry_Int_Tables_number 107
_symmetry_space_group_name_Hall 'I 4 -2'
_cell_length_a 3.466
_cell_length_b 3.466
_cell_length_c 11.348
_cell_angle_alpha 90.00
_cell_angle_beta 90.00
_cell_angle_gamma 90.00
loop_
_atom_site_label
_atom_site_fract_x
_atom_site_fract_y
_atom_site_fract_z
Hf1 0.000 0.000 0.000
Th1 0.000 0.000 0.705
Mo1 0.000 0.000 0.366
```

Computed properties:
total magnetization = 0.00 μB/f.u.
energy relative to the lowest polymorph listed for this composition = 0 meV/atom
calculated formation energy = 0.14 eV/atom
crystal system = tetragonal



(4)
DFT (PBE) results for a relaxed structure of TaMo.

```
data_TaMo
_symmetry_space_group_name_H-M 'P 42/m n m'
_symmetry_Int_Tables_number 136
_symmetry_space_group_name_Hall '-P 4n 2n'
_cell_length_a 5.297
_cell_length_b 5.297
_cell_length_c 5.343
_cell_angle_alpha 90.00
_cell_angle_beta 90.00
_cell_angle_gamma 90.00
loop_
_atom_site_label
_atom_site_fract_x
_atom_site_fract_y
_atom_site_fract_z
Ta1 0.208 0.208 0.000
Mo1 0.207 0.207 0.500
```

Computed properties:
total magnetization = 0.00 μB/f.u.
calculated formation energy = 0.88 eV/atom
crystal system = tetragonal